[1]
# K3TbEr3Te8

Crystalline K3TbEr3Te8 at its relaxed geometry (PBE-GGA, Alexandria).

abc: 8.7379 8.7433 9.8843
angles: 116.26 90.00 119.99
Fractional positions:
Er 0.5000 0.5000 0.5000
Er 0.5000 0.0000 0.5000
Er 0.0000 0.5000 0.5000
Te 0.7614 0.5228 0.2921
Te 0.2386 0.4772 0.7079
Te 0.2692 0.0305 0.2921
Te 0.2387 0.9695 0.7080
Te 0.2642 0.5285 0.2928
Te 0.7308 0.9695 0.7079
Te 0.7613 0.0305 0.2920
Te 0.7358 0.4715 0.7072
Tb 0.0000 0.0000 0.5000
K 0.5000 0.5000 0.0000
K 0.0000 0.0000 0.0000
K 0.0000 0.5000 0.0000

## Properties
uncorrected formation energy	-1312.8	meV per atom
volume	37.49	Å³ per atom
total magnetic moment	0.00	μB per formula unit
space-group type	R-3m
Fermi-level density of states	6.5	states/eV/cell



[2]
# K3Tb2ErTe6

Crystalline K3Tb2ErTe6 at its relaxed geometry (PBE-GGA, Alexandria).

abc: 7.7872 7.7872 8.6428
angles: 98.64 98.64 120.00
Fractional positions:
Te 0.0693 0.3999 0.2083
Te 0.6001 0.9307 0.7917
Te 0.7392 0.7392 0.2088
Te 0.9307 0.6001 0.7917
Te 0.3999 0.0693 0.2083
Te 0.2608 0.2608 0.7912
Tb 0.6665 0.3335 0.0000
Tb 0.3335 0.6665 0.0000
Er 0.0000 0.0000 0.0000
K 0.5000 0.5000 0.5000
K 0.1678 0.8322 0.5000
K 0.8322 0.1678 0.5000

## Properties
uncorrected formation energy	-1396.0	meV per atom
volume	36.08	Å³ per atom
total magnetic moment	0.00	μB per formula unit
space-group type	C2/m



[3]
# K3TbEr2Te6

Crystalline K3TbEr2Te6 at its relaxed geometry (PBE-GGA, Alexandria).

abc: 7.7616 7.7616 8.6364
angles: 98.62 98.62 120.00
Fractional positions:
K 0.1660 0.8340 0.5000
K 0.8340 0.1660 0.5000
K 0.5000 0.5000 0.5000
Te 0.4054 0.0693 0.2077
Te 0.0693 0.4054 0.2077
Te 0.5946 0.9307 0.7923
Te 0.9307 0.5946 0.7923
Te 0.2670 0.2670 0.7925
Te 0.7330 0.7330 0.2075
Er 0.6668 0.3332 0.0000
Er 0.3332 0.6668 0.0000
Tb 0.0000 0.0000 0.0000

## Properties
uncorrected formation energy	-1389.0	meV per atom
volume	35.82	Å³ per atom
total magnetic moment	0.00	μB per formula unit
space-group type	C2/m



[4]
# K4Tb3ErTe8

Crystalline K4Tb3ErTe8 at its relaxed geometry (PBE-GGA, Alexandria).

abc: 8.9989 9.7472 8.9996
angles: 117.52 120.00 90.00
Fractional positions:
K 0.0000 0.0000 0.0000
K 0.5000 0.0000 0.5000
K 0.0000 0.0000 0.5000
K 0.5000 0.0000 0.0000
Te 0.2350 0.7084 0.9737
Te 0.2613 0.2916 0.0263
Te 0.7650 0.2916 0.0263
Te 0.7387 0.7084 0.9737
Te 0.2633 0.2903 0.5267
Te 0.7651 0.2916 0.5302
Te 0.2349 0.7084 0.4698
Te 0.7367 0.7097 0.4733
Tb 0.5000 0.5000 0.5000
Tb 0.0000 0.5000 0.5000
Tb 0.5000 0.5000 0.0000
Er 0.0000 0.5000 0.0000

## Properties
uncorrected formation energy	-1397.5	meV per atom
volume	36.14	Å³ per atom
total magnetic moment	0.00	μB per formula unit
space-group type	R-3m



[5]
# K3Tb3ErTe8

Crystalline K3Tb3ErTe8 at its relaxed geometry (PBE-GGA, Alexandria).

abc: 8.7923 8.7975 9.9155
angles: 116.37 90.00 119.98
Fractional positions:
Te 0.7645 0.0275 0.2923
Te 0.2355 0.9725 0.7077
Te 0.7370 0.9725 0.7077
Te 0.7368 0.4736 0.7102
Te 0.7645 0.5290 0.2923
Te 0.2632 0.5264 0.2898
Te 0.2355 0.4710 0.7077
Te 0.2630 0.0275 0.2923
K 0.5000 0.5000 0.0000
K 0.0000 0.0000 0.0000
K 0.0000 0.5000 0.0000
Tb 0.5000 0.0000 0.5000
Tb 0.5000 0.5000 0.5000
Tb 0.0000 0.5000 0.5000
Er 0.0000 0.0000 0.5000

## Properties
uncorrected formation energy	-1321.2	meV per atom
volume	38.03	Å³ per atom
total magnetic moment	0.00	μB per formula unit
space-group type	R-3m
Fermi-level density of states	6.5	states/eV/cell



[6]
# KErTe2

Crystalline KErTe2 at its relaxed geometry (PBE-GGA, Alexandria).

abc: 4.4474 4.4474 8.7554
angles: 75.29 75.29 60.00
Fractional positions:
Te 0.2652 0.2652 0.2044
Te 0.0688 0.0688 0.7936
Er 0.6673 0.6673 0.9982
K 0.4987 0.4987 0.5038

## Properties
uncorrected formation energy	-1368.9	meV per atom
volume	35.85	Å³ per atom
total magnetic moment	0.00	μB per formula unit
space-group type	R3m



[7]
# KErTe2

Crystalline KErTe2 at its relaxed geometry (PBE-GGA, Alexandria).

abc: 8.6333 8.6329 8.6329
angles: 29.99 29.99 29.99
Fractional positions:
K 0.5000 0.5000 0.5000
Te 0.2645 0.2644 0.2644
Te 0.7355 0.7356 0.7356
Er 0.0000 0.0000 0.0000

## Properties
uncorrected formation energy	-1381.1	meV per atom
volume	35.61	Å³ per atom
total magnetic moment	0.00	μB per formula unit
space-group type	R-3m



[8]
# KErTe4

Crystalline KErTe4 at its relaxed geometry (PBE-GGA, Alexandria).

abc: 6.8232 6.8232 8.8889
angles: 90.00 90.00 90.00
Fractional positions:
Er 0.5000 0.5000 0.0000
Er 0.0000 0.0000 0.0000
Te 0.1472 0.3528 0.7943
Te 0.3528 0.1472 0.2057
Te 0.8528 0.6472 0.7943
Te 0.3528 0.8528 0.7943
Te 0.8528 0.3528 0.2057
Te 0.6472 0.8528 0.2057
Te 0.1472 0.6472 0.2057
Te 0.6472 0.1472 0.7943
K 0.0000 0.0000 0.5000
K 0.5000 0.5000 0.5000

## Properties
uncorrected formation energy	-908.7	meV per atom
volume	34.49	Å³ per atom
total magnetic moment	0.00	μB per formula unit
space-group type	P4/nbm
Fermi-level density of states	1.8	states/eV/cell



[9]
# K2Er3Te6

Crystalline K2Er3Te6 at its relaxed geometry (PBE-GGA, Alexandria).

abc: 7.4835 7.4838 8.9762
angles: 82.00 73.84 60.00
Fractional positions:
Te 0.7331 0.0000 0.7940
Te 0.0716 0.3309 0.7929
Te 0.2669 0.0000 0.2060
Te 0.9284 0.6691 0.2071
Te 0.4025 0.6691 0.7929
Te 0.5975 0.3309 0.2071
Er 0.0000 0.0000 0.0000
Er 0.3324 0.3352 0.0000
Er 0.6676 0.6648 0.0000
K 0.8335 0.3331 0.5000
K 0.1665 0.6669 0.5000

## Properties
uncorrected formation energy	-1283.0	meV per atom
volume	38.02	Å³ per atom
total magnetic moment	0.00	μB per formula unit
space-group type	C2/m
Fermi-level density of states	4.7	states/eV/cell



[10]
# KEr6Te8

Crystalline KEr6Te8 at its relaxed geometry (PBE-GGA, Alexandria).

abc: 8.3842 8.3842 8.3842
angles: 91.70 91.70 91.70
Fractional positions:
Te 0.2437 0.2437 0.2437
Te 0.7563 0.7563 0.7563
Te 0.7174 0.3940 0.1352
Te 0.3940 0.1352 0.7174
Te 0.8648 0.2826 0.6060
Te 0.2826 0.6060 0.8648
Te 0.6060 0.8648 0.2826
Te 0.1352 0.7174 0.3940
Er 0.2027 0.3985 0.5634
Er 0.7973 0.6015 0.4366
Er 0.5634 0.2027 0.3985
Er 0.3985 0.5634 0.2027
Er 0.6015 0.4366 0.7973
Er 0.4366 0.7973 0.6015
K 0.0000 0.0000 0.0000

## Properties
uncorrected formation energy	-1224.0	meV per atom
volume	39.24	Å³ per atom
total magnetic moment	0.09	μB per formula unit
space-group type	R-3
Fermi-level density of states	7.6	states/eV/cell



[11]
# K3ErTh3Te8

Crystalline K3ErTh3Te8 at its relaxed geometry (PBE-GGA, Alexandria).

abc: 8.9037 8.8998 9.9817
angles: 116.46 90.01 120.01
Fractional positions:
Th 0.5000 0.0000 0.5000
Th 0.0000 0.5000 0.5000
Th 0.5000 0.5000 0.5000
Te 0.2596 0.5193 0.2791
Te 0.2572 0.0230 0.2888
Te 0.7404 0.4807 0.7209
Te 0.2343 0.4686 0.7111
Te 0.2342 0.9770 0.7111
Te 0.7657 0.5314 0.2889
Te 0.7428 0.9770 0.7112
Te 0.7658 0.0230 0.2889
K 0.0000 0.5000 0.0000
K 0.0000 0.0000 0.0000
K 0.5000 0.5000 0.0000
Er 0.0000 0.0000 0.5000

## Properties
uncorrected formation energy	-1234.0	meV per atom
volume	39.15	Å³ per atom
total magnetic moment	0.00	μB per formula unit
space-group type	R-3m
Fermi-level density of states	9.0	states/eV/cell



[12]
# K2ErThTe4

Crystalline K2ErThTe4 at its relaxed geometry (PBE-GGA, Alexandria).

abc: 4.4563 7.7750 8.7311
angles: 106.96 90.00 90.00
Fractional positions:
Te 0.5000 0.2464 0.2169
Te 0.5000 0.7536 0.7831
Te 0.0000 0.2694 0.7894
Te 0.0000 0.7306 0.2106
Th 0.0000 0.0000 0.0000
K 0.0000 0.5000 0.5000
K 0.5000 0.0000 0.5000
Er 0.5000 0.5000 0.0000

## Properties
uncorrected formation energy	-1266.5	meV per atom
volume	36.17	Å³ per atom
total magnetic moment	0.00	μB per formula unit
space-group type	P2/m
Fermi-level density of states	4.2	states/eV/cell